DFT (PBE) results for an optimized crystal structure of TmMg15In4.

The calculation puts the formation energy at -1.2 eV/f.u. The total magnetization is 0.00 μB per formula unit. Its density is 3.6 g cm⁻³.

Cell: 4.6360 4.6360 21.5971 Å, 90.00 90.00 90.00°
Positions (direct):
In 0.0000 0.0000 0.4013
Mg 0.5000 0.5000 0.0000
In 0.0000 0.0000 0.7986
Mg 0.0000 0.5000 0.3016
Mg 0.5000 0.0000 0.5000
Mg 0.5000 0.5000 0.4002
Mg 0.5000 0.5000 0.2047
Mg 0.5000 0.5000 0.5998
Mg 0.0000 0.5000 0.5000
Mg 0.0000 0.5000 0.6984
Mg 0.0000 0.5000 0.1054
In 0.0000 0.0000 0.2014
Mg 0.5000 0.0000 0.1054
Mg 0.5000 0.0000 0.3016
In 0.0000 0.0000 0.5987
Mg 0.0000 0.5000 0.8946
Mg 0.5000 0.0000 0.8946
Mg 0.5000 0.0000 0.6984
Mg 0.5000 0.5000 0.7953
Tm 0.0000 0.0000 0.0000

***

DFT (PBE) results for an optimized crystal structure of MnFeMoRu.

The calculation puts the formation energy at 0.4 eV/f.u. The total magnetization is 4.75 μB per formula unit. Its density is 9.4 g cm⁻³.

Cell: 4.2515 4.2515 4.2515 Å, 60.00 60.00 60.00°
Positions (direct):
Mo 0.0000 0.0000 0.0000
Mn 0.5000 0.5000 0.5000
Ru 0.7500 0.7500 0.7500
Fe 0.2500 0.2500 0.2500

***

DFT (PBE) results for an optimized crystal structure of KCuO3.

The total magnetization is 4.00 μB per formula unit. The value obtained for the formation energy (no corrections) is 1.21 eV/atom. Its density is 2.4 g cm⁻³.

Cell: 4.6767 4.6767 4.6767 Å, 90.00 90.00 90.00°
Positions (direct):
O 0.0000 0.0000 0.5000
Cu 0.5000 0.5000 0.5000
O 0.0000 0.5000 0.0000
K 0.0000 0.0000 0.0000
O 0.5000 0.0000 0.0000